Entry 1:
The following is a DFT calculation (PBE) of crystalline GdScPaSn at its relaxed geometry.

Structure (CIF):
```
data_GdScPaSn
_chemical_formula_sum 'Gd1 Sc1 Pa1 Sn1'
_symmetry_space_group_name_H-M 'P 1'
_symmetry_Int_Tables_number 1
_symmetry_space_group_name_Hall 'P 1'
_cell_length_a 5.218
_cell_length_b 5.218
_cell_length_c 5.218
_cell_angle_alpha 60.00
_cell_angle_beta 60.00
_cell_angle_gamma 60.00
loop_
_atom_site_label
_atom_site_fract_x
_atom_site_fract_y
_atom_site_fract_z
_atom_site_occupancy
Gd1 0.250 0.250 0.250 1
Sc1 0.750 0.750 0.750 1
Pa1 0.000 0.000 0.000 1
Sn1 0.500 0.500 0.500 1
```

Values from the calculation:
- N(E_F): 7.116 states/eV per cell
- Space-group type: No. 216
- Formation energy from the elements: -0.0190 eV/atom

Entry 2:
The following is a DFT calculation (PBE) of crystalline Ac5CdS8 at its relaxed geometry.

Structure (CIF):
```
data_Ac5CdS8
_chemical_formula_sum 'Ac5 Cd1 S8'
_symmetry_space_group_name_H-M 'P 1'
_symmetry_Int_Tables_number 1
_symmetry_space_group_name_Hall 'P 1'
_cell_length_a 7.834
_cell_length_b 7.834
_cell_length_c 7.834
_cell_angle_alpha 109.42
_cell_angle_beta 109.58
_cell_angle_gamma 109.42
loop_
_atom_site_label
_atom_site_fract_x
_atom_site_fract_y
_atom_site_fract_z
_atom_site_occupancy
Ac1 0.017 0.384 0.134 1
Ac2 0.866 0.883 0.250 1
Ac3 0.750 0.616 0.632 1
Ac4 0.500 0.000 0.500 1
Ac5 0.368 0.117 0.983 1
Cd1 0.250 0.500 0.750 1
S1 0.133 0.758 0.032 1
S2 0.968 0.101 0.726 1
S3 0.754 0.239 0.356 1
S4 0.644 0.397 0.883 1
S5 0.485 0.603 0.246 1
S6 0.625 0.899 0.867 1
S7 0.274 0.242 0.375 1
S8 0.117 0.761 0.515 1
```

Values from the calculation:
- N(E_F): 4.922 states/eV per cell
- Final energy: -81.3 eV per formula unit
- Space-group type: No. 82

Entry 3:
The following is a DFT calculation (PBE) of crystalline NdEr2Ag4 at its relaxed geometry.

Structure (CIF):
```
data_NdEr2Ag4
_chemical_formula_sum 'Nd1 Er2 Ag4'
_symmetry_space_group_name_H-M 'P 1'
_symmetry_Int_Tables_number 1
_symmetry_space_group_name_Hall 'P 1'
_cell_length_a 6.227
_cell_length_b 6.227
_cell_length_c 6.227
_cell_angle_alpha 112.94
_cell_angle_beta 107.76
_cell_angle_gamma 107.76
loop_
_atom_site_label
_atom_site_fract_x
_atom_site_fract_y
_atom_site_fract_z
_atom_site_occupancy
Nd1 0.000 0.000 0.000 1
Ag1 0.500 0.000 0.000 1
Ag2 0.500 0.500 0.500 1
Ag3 0.000 0.000 0.500 1
Ag4 0.000 0.500 0.000 1
Er1 0.500 0.500 0.000 1
Er2 0.500 0.000 0.500 1
```

Values from the calculation:
- N(E_F): 4.830 states/eV per cell
- Space-group type: No. 139
- Formation energy from the elements: -0.0779 eV/atom

Entry 4:
The following is a DFT calculation (PBE) of crystalline BeSi2Ir at its relaxed geometry.

Structure (CIF):
```
data_BeSi2Ir
_chemical_formula_sum 'Be1 Si2 Ir1'
_symmetry_space_group_name_H-M 'P 1'
_symmetry_Int_Tables_number 1
_symmetry_space_group_name_Hall 'P 1'
_cell_length_a 2.872
_cell_length_b 3.508
_cell_length_c 4.920
_cell_angle_alpha 90.00
_cell_angle_beta 90.00
_cell_angle_gamma 90.00
loop_
_atom_site_label
_atom_site_fract_x
_atom_site_fract_y
_atom_site_fract_z
_atom_site_occupancy
Be1 0.000 0.000 0.481 1
Si1 0.000 0.000 0.001 1
Si2 0.500 0.500 0.264 1
Ir1 0.500 0.500 0.754 1
```

Values from the calculation:
- N(E_F): 1.385 states/eV per cell
- Final energy: -23.9 eV per formula unit
- Space-group type: No. 25